AcPm2PrN4: optimized geometry, PBE-GGA.

Lattice parameters (Å, degrees): 6.4272 3.7051 6.4356 90.00 109.39 90.00
Closest atoms and distances in Å follow each position.
Sites, in units of the cell vectors:
Ac (0.0000, 0.0000, 0.0000)  6 N 2.67-2.68
Pm (0.0000, 0.5000, 0.5000)  6 N 2.61
Pm (0.5000, 0.0000, 0.5000)  6 N 2.57
Pr (0.5000, 0.5000, 0.0000)  6 N 2.64
N (0.2518, 0.0000, 0.7422)  3 Pm 2.57-2.61, 2 Pr 2.64, 1 Ac 2.67
N (0.2589, 0.5000, 0.2623)  3 Pm 2.57-2.61, 1 Pr 2.64, 2 Ac 2.68
N (0.7411, 0.5000, 0.7377)  3 Pm 2.57-2.61, 1 Pr 2.64, 2 Ac 2.68
N (0.7482, 0.0000, 0.2578)  3 Pm 2.57-2.61, 2 Pr 2.64, 1 Ac 2.67

Magnetic moment = 0.00 μB/f.u.
Symmetry = P2/m (10)
Density of states at the Fermi level = 0.143 states/eV/atom
Formation energy from raw total energies = -10.2 eV/f.u.
Total DFT energy (no corrections) = -61.9 eV/cell

***

SbOsC3: optimized geometry, PBE-GGA.

Lattice parameters (Å, degrees): 4.1298 4.1298 4.1298 90.00 90.00 90.00
Closest atoms and distances in Å follow each position.
Sites, in units of the cell vectors:
Sb (0.0000, 0.0000, 0.0000)  6 C 2.06
Os (0.5000, 0.5000, 0.5000)  12 C 2.92
C (0.0000, 0.0000, 0.5000)  2 Sb 2.06
C (0.0000, 0.5000, 0.0000)  2 Sb 2.06
C (0.5000, 0.0000, 0.0000)  2 Sb 2.06

Magnetic moment = 0.00 μB/f.u.
Symmetry = Pm-3m (221)
Density of states at the Fermi level = 1.752 states/eV/atom
Formation energy from raw total energies = 17.5 eV/f.u.
Total DFT energy (no corrections) = -25.6 eV/cell
ΔE to the lowest computed polymorph = 1.525 eV per atom

***

KCuPbBr5: optimized geometry, PBE-GGA.

Lattice parameters (Å, degrees): 7.9289 7.9289 10.8233 102.58 102.58 110.84
Closest atoms and distances in Å follow each position.
Sites, in units of the cell vectors:
K (0.1593, 0.8407, 0.7500)  5 Br 3.26-3.44
K (0.8407, 0.1593, 0.2500)  5 Br 3.26-3.44
Cu (0.1766, 0.8234, 0.2500)  4 Br 2.43
Cu (0.8234, 0.1766, 0.7500)  4 Br 2.43
Pb (0.5000, 0.5000, 0.0000)  6 Br 2.95-3.04
Pb (0.5000, 0.5000, 0.5000)  6 Br 2.95-3.04
Br (0.0945, 0.2084, 0.9246)  1 Cu 2.43
Br (0.1909, 0.6186, 0.3861)  1 Cu 2.43
Br (0.2084, 0.0945, 0.4246)  1 Cu 2.43
Br (0.3814, 0.8091, 0.1139)  1 Cu 2.43
Br (0.4091, 0.5910, 0.7500)  2 Pb 2.95, 1 K 3.26
Br (0.5910, 0.4091, 0.2500)  2 Pb 2.95, 1 K 3.26
Br (0.6186, 0.1909, 0.8861)  1 Cu 2.43
Br (0.7916, 0.9055, 0.5754)  1 Cu 2.43
Br (0.8091, 0.3814, 0.6139)  1 Cu 2.43
Br (0.9055, 0.7916, 0.0754)  1 Cu 2.43

Magnetic moment = 0.67 μB/f.u.
Symmetry = C2/c (15)
Density of states at the Fermi level = 0.634 states/eV/atom
Formation energy from raw total energies = -6.9 eV/f.u.
Total DFT energy (no corrections) = -48.2 eV/cell

***

BaHg2Sb2: optimized geometry, PBE-GGA.

Lattice parameters (Å, degrees): 5.0546 4.9322 7.1930 90.00 110.59 90.00
Closest atoms and distances in Å follow each position.
Sites, in units of the cell vectors:
Ba (0.0000, 0.0000, 0.0000)  6 Sb 3.57-3.61, 4 Hg 3.62-3.68
Hg (0.2004, 0.5000, 0.4051)  3 Sb 2.88-3.22
Hg (0.6923, 0.0000, 0.3851)  4 Sb 3.00-3.09
Sb (0.3131, 0.0000, 0.6254)  4 Hg 2.88-3.00
Sb (0.5537, 0.5000, 0.1080)  4 Hg 3.09-3.23

Magnetic moment = 0.00 μB/f.u.
Symmetry = Pm (6)
Density of states at the Fermi level = 0.321 states/eV/atom
Formation energy from raw total energies = -1.8 eV/f.u.
Total DFT energy (no corrections) = -12.6 eV/cell

***

Tl2AgMo: optimized geometry, PBE-GGA.

Lattice parameters (Å, degrees): 3.0594 4.6255 5.9988 90.00 90.00 90.00
Closest atoms and distances in Å follow each position.
Sites, in units of the cell vectors:
Tl (0.0000, 0.0000, 0.0000)  1 Ag 2.74, 4 Mo 2.95, 2 Tl 3.06
Tl (0.5000, 0.5000, 0.3414)  2 Mo 2.94-3.06, 4 Ag 3.03, 2 Tl 3.06
Ag (0.0000, 0.0000, 0.5436)  5 Tl 2.74-3.03, 2 Ag 3.06
Mo (0.5000, 0.5000, 0.8313)  6 Tl 2.94-3.06, 2 Mo 3.06, 4 Ag 3.27

Magnetic moment = 0.00 μB/f.u.
Symmetry = Pmm2 (25)
Energy of formation = 2.677 eV per formula unit
Density of states at the Fermi level = 0.755 states/eV/atom
Total DFT energy (no corrections) = -15.7 eV/cell
ΔE to the lowest computed polymorph = 0.113 eV per atom

***

Ac6Ag5Sn: optimized geometry, PBE-GGA.

Lattice parameters (Å, degrees): 9.7809 9.7809 9.7809 146.56 131.75 59.97
Closest atoms and distances in Å follow each position.
Sites, in units of the cell vectors:
Ac (0.0799, 0.3318, 0.7481)  7 Ag 3.42-3.47, 1 Sn 3.49
Ac (0.2457, 0.0000, 0.2457)  6 Ag 3.43-3.49, 2 Sn 3.47
Ac (0.4163, 0.6682, 0.7481)  7 Ag 3.42-3.47, 1 Sn 3.49
Ac (0.5837, 0.3318, 0.2519)  7 Ag 3.42-3.47, 1 Sn 3.49
Ac (0.7543, 0.0000, 0.7543)  6 Ag 3.43-3.49, 2 Sn 3.47
Ac (0.9201, 0.6682, 0.2519)  7 Ag 3.42-3.47, 1 Sn 3.49
Ag (0.0000, 0.5000, 0.5000)  8 Ac 3.43-3.47
Ag (0.1672, 0.1672, 0.0000)  8 Ac 3.44-3.45
Ag (0.3326, 0.8326, 0.5000)  8 Ac 3.42-3.49
Ag (0.6674, 0.1674, 0.5000)  8 Ac 3.42-3.49
Ag (0.8328, 0.8328, 0.0000)  8 Ac 3.44-3.45
Sn (0.5000, 0.5000, 0.0000)  8 Ac 3.47-3.49

Magnetic moment = 0.00 μB/f.u.
Symmetry = Immm (71)
Energy of formation = -3.918 eV per formula unit
Density of states at the Fermi level = 0.825 states/eV/atom
Total DFT energy (no corrections) = -46.8 eV/cell

***

CaAcHoHg: optimized geometry, PBE-GGA.

Lattice parameters (Å, degrees): 8.0474 8.0474 8.0474 90.00 90.00 90.00
Closest atoms and distances in Å follow each position.
Sites, in units of the cell vectors:
Ca (0.0000, 0.0000, 0.0000)  4 Hg 3.48, 4 Ac 3.48
Ca (0.0000, 0.5000, 0.5000)  4 Hg 3.48, 4 Ac 3.48
Ca (0.5000, 0.0000, 0.5000)  4 Hg 3.48, 4 Ac 3.48
Ca (0.5000, 0.5000, 0.0000)  4 Hg 3.48, 4 Ac 3.48
Ac (0.2500, 0.2500, 0.7500)  4 Ho 3.48, 4 Ca 3.48
Ac (0.2500, 0.7500, 0.2500)  4 Ho 3.48, 4 Ca 3.48
Ac (0.7500, 0.2500, 0.2500)  4 Ho 3.48, 4 Ca 3.48
Ac (0.7500, 0.7500, 0.7500)  4 Ho 3.48, 4 Ca 3.48
Ho (0.0000, 0.0000, 0.5000)  4 Ac 3.48, 4 Hg 3.48
Ho (0.0000, 0.5000, 0.0000)  4 Ac 3.48, 4 Hg 3.48
Ho (0.5000, 0.0000, 0.0000)  4 Ac 3.48, 4 Hg 3.48
Ho (0.5000, 0.5000, 0.5000)  4 Ac 3.48, 4 Hg 3.48
Hg (0.2500, 0.2500, 0.2500)  4 Ho 3.48, 4 Ca 3.48
Hg (0.2500, 0.7500, 0.7500)  4 Ho 3.48, 4 Ca 3.48
Hg (0.7500, 0.2500, 0.7500)  4 Ho 3.48, 4 Ca 3.48
Hg (0.7500, 0.7500, 0.2500)  4 Ho 3.48, 4 Ca 3.48

Magnetic moment = 0.00 μB/f.u.
Symmetry = F-43m (216)
Energy of formation = 0.272 eV per formula unit
Density of states at the Fermi level = 1.136 states/eV/atom
Total DFT energy (no corrections) = -42.9 eV/cell

***

HoCoSi3Ir: optimized geometry, PBE-GGA.

Lattice parameters (Å, degrees): 7.0683 7.0683 5.5108 90.00 90.00 128.67
Closest atoms and distances in Å follow each position.
Sites, in units of the cell vectors:
Ho (0.1923, 0.8077, 0.7500)  2 Si 2.76, 1 Co 2.99
Ho (0.8077, 0.1923, 0.2500)  2 Si 2.76, 1 Co 2.99
Co (0.0422, 0.9578, 0.2500)  5 Si 2.11-2.29
Co (0.9578, 0.0422, 0.7500)  5 Si 2.11-2.29
Si (0.2079, 0.7921, 0.2500)  1 Co 2.11, 1 Ir 2.24
Si (0.2849, 0.2849, 0.0000)  2 Co 2.29, 2 Ir 2.41
Si (0.2849, 0.2849, 0.5000)  2 Co 2.29, 2 Ir 2.41
Si (0.7151, 0.7151, 0.0000)  2 Co 2.29, 2 Ir 2.41
Si (0.7151, 0.7151, 0.5000)  2 Co 2.29, 2 Ir 2.41
Si (0.7921, 0.2079, 0.7500)  1 Co 2.11, 1 Ir 2.24
Ir (0.3839, 0.6161, 0.2500)  5 Si 2.24-2.41
Ir (0.6161, 0.3839, 0.7500)  5 Si 2.24-2.41

Magnetic moment = 0.00 μB/f.u.
Symmetry = Cmcm (63)
Density of states at the Fermi level = 0.524 states/eV/atom
Formation energy from raw total energies = -3.0 eV/f.u.
Total DFT energy (no corrections) = -79.7 eV/cell

***

La2ScGa3Rh4: optimized geometry, PBE-GGA.

Lattice parameters (Å, degrees): 4.2798 4.2798 10.7950 90.00 90.00 90.00
Closest atoms and distances in Å follow each position.
Sites, in units of the cell vectors:
La (0.0000, 0.5000, 0.2303)  6 Ga 3.26-3.61, 8 Rh 3.28-3.32, 2 Sc 3.61
La (0.5000, 0.0000, 0.7697)  6 Ga 3.26-3.61, 8 Rh 3.28-3.32, 2 Sc 3.61
Sc (0.0000, 0.0000, 0.5000)  4 Rh 2.65
Ga (0.0000, 0.5000, 0.8808)  5 Rh 2.50-2.55
Ga (0.5000, 0.0000, 0.1192)  5 Rh 2.50-2.55
Ga (0.5000, 0.5000, 0.5000)  4 Rh 2.65
Rh (0.0000, 0.0000, 0.0000)  4 Ga 2.50
Rh (0.0000, 0.5000, 0.6442)  3 Ga 2.55-2.65, 2 Sc 2.65
Rh (0.5000, 0.0000, 0.3558)  3 Ga 2.55-2.65, 2 Sc 2.65
Rh (0.5000, 0.5000, 0.0000)  4 Ga 2.50

Magnetic moment = 0.00 μB/f.u.
Symmetry = P-4m2 (115)
Energy of formation = -8.455 eV per formula unit
Density of states at the Fermi level = 0.659 states/eV/atom
Total DFT energy (no corrections) = -63.1 eV/cell

***

ZnAgIr2: optimized geometry, PBE-GGA.

Lattice parameters (Å, degrees): 2.7831 2.7831 27.1249 90.00 90.00 120.00
Closest atoms and distances in Å follow each position.
Sites, in units of the cell vectors:
Zn (0.0000, 0.0000, 0.0000)  3 Ir 2.69, 6 Zn 2.78, 3 Ag 2.81
Zn (0.3333, 0.6667, 0.6667)  3 Ir 2.69, 6 Zn 2.78, 3 Ag 2.81
Zn (0.6667, 0.3333, 0.3333)  3 Ir 2.69, 6 Zn 2.78, 3 Ag 2.81
Ag (0.0000, 0.0000, 0.2485)  6 Ag 2.78, 3 Zn 2.81, 3 Ir 2.91
Ag (0.3333, 0.6667, 0.9152)  6 Ag 2.78, 3 Zn 2.81, 3 Ir 2.91
Ag (0.6667, 0.3333, 0.5818)  6 Ag 2.78, 3 Zn 2.81, 3 Ir 2.91
Ir (0.0000, 0.0000, 0.4923)  9 Ir 2.69-2.78, 3 Ag 2.91
Ir (0.0000, 0.0000, 0.7463)  9 Ir 2.69-2.78, 3 Zn 2.69
Ir (0.3333, 0.6667, 0.1590)  9 Ir 2.69-2.78, 3 Ag 2.91
Ir (0.3333, 0.6667, 0.4129)  9 Ir 2.69-2.78, 3 Zn 2.69
Ir (0.6667, 0.3333, 0.0796)  9 Ir 2.69-2.78, 3 Zn 2.69
Ir (0.6667, 0.3333, 0.8256)  9 Ir 2.69-2.78, 3 Ag 2.91

Magnetic moment = 0.00 μB/f.u.
Symmetry = R3m (160)
Energy of formation = 0.296 eV per formula unit
Density of states at the Fermi level = 0.884 states/eV/atom
Total DFT energy (no corrections) = -64.7 eV/cell

***

Be2NiAg: optimized geometry, PBE-GGA.

Lattice parameters (Å, degrees): 6.0983 6.0983 5.1210 90.00 90.00 90.00
Closest atoms and distances in Å follow each position.
Sites, in units of the cell vectors:
Be (0.2212, 0.2500, 0.1250)  2 Ni 2.13, 2 Ag 2.37
Be (0.2500, 0.7212, 0.3750)  2 Ni 2.13, 2 Ag 2.37
Be (0.2500, 0.7788, 0.8750)  2 Ni 2.13, 2 Ag 2.37
Be (0.2788, 0.2500, 0.6250)  2 Ni 2.13, 2 Ag 2.37
Be (0.7212, 0.7500, 0.6250)  2 Ni 2.13, 2 Ag 2.37
Be (0.7500, 0.2212, 0.8750)  2 Ni 2.13, 2 Ag 2.37
Be (0.7500, 0.2788, 0.3750)  2 Ni 2.13, 2 Ag 2.37
Be (0.7788, 0.7500, 0.1250)  2 Ni 2.13, 2 Ag 2.37
Ni (0.0000, 0.0000, 0.0000)  4 Be 2.13
Ni (0.0000, 0.5000, 0.2500)  4 Be 2.13
Ni (0.5000, 0.0000, 0.7500)  4 Be 2.13
Ni (0.5000, 0.5000, 0.5000)  4 Be 2.13
Ag (0.0000, 0.0000, 0.5000)  4 Be 2.37, 2 Ni 2.56
Ag (0.0000, 0.5000, 0.7500)  4 Be 2.37, 2 Ni 2.56
Ag (0.5000, 0.0000, 0.2500)  4 Be 2.37, 2 Ni 2.56
Ag (0.5000, 0.5000, 0.0000)  4 Be 2.37, 2 Ni 2.56

Magnetic moment = 0.00 μB/f.u.
Symmetry = I-42d (122)
Energy of formation = 1.132 eV per formula unit
Density of states at the Fermi level = 0.327 states/eV/atom
Total DFT energy (no corrections) = -59.8 eV/cell
ΔE to the lowest computed polymorph = 0.419 eV per atom

***

Ir2PbAu: optimized geometry, PBE-GGA.

Lattice parameters (Å, degrees): 2.8961 4.8149 10.6466 90.00 90.00 90.00
Closest atoms and distances in Å follow each position.
Sites, in units of the cell vectors:
Ir (0.0000, 0.0000, 0.0000)  4 Ir 2.62-2.90, 4 Au 2.83
Ir (0.0000, 0.5000, 0.2951)  4 Ir 2.62-2.90, 4 Pb 2.87
Ir (0.5000, 0.0000, 0.7951)  4 Ir 2.62-2.90, 4 Pb 2.87
Ir (0.5000, 0.5000, 0.5000)  4 Ir 2.62-2.90, 4 Au 2.83
Pb (0.0000, 0.5000, 0.7397)  6 Ir 2.87-2.93, 2 Pb 2.90
Pb (0.5000, 0.0000, 0.2397)  6 Ir 2.87-2.93, 2 Pb 2.90
Au (0.0000, 0.0000, 0.5328)  6 Ir 2.83-3.15, 2 Au 2.90
Au (0.5000, 0.5000, 0.0328)  6 Ir 2.83-3.15, 2 Au 2.90

Magnetic moment = 0.00 μB/f.u.
Symmetry = Imm2 (44)
Energy of formation = 1.984 eV per formula unit
Density of states at the Fermi level = 0.702 states/eV/atom
Total DFT energy (no corrections) = -45.4 eV/cell

***

What is the formula in the third record? KCuPbBr5

***

Look up the total DFT energy (no corrections) of the fifth one. -15.7 eV/cell

***

Which value of magnetic moment does entry 8 give? 0.00 μB/f.u.

***

Which value of density of states at the Fermi level does entry 3 give? 0.634 states/eV/atom